[1]
Be2TlCo: relaxed, PBE-GGA.

Output
Relative energy among the computed polymorphs: 40.5 kJ/mol of atoms
Energy relative to the elements: 0.623 eV per atom
Space-group type: No. 166

Unit cell a=7.644 b=7.644 c=7.644 alpha=22.57 beta=22.57 gamma=22.57
Positions (direct):
Be  0.980  0.980  0.980
Be  0.520  0.520  0.520
Tl  0.750  0.750  0.750
Co  0.250  0.250  0.250

[2]
KLaCrH2: relaxed, PBE-GGA.

Output
Space-group type: No. 123

Unit cell a=4.563 b=7.739 c=4.563 alpha=90.00 beta=90.00 gamma=90.00
Positions (direct):
Cr  0.500  0.500  0.500
K  0.000  0.500  0.000
H  0.000  0.000  0.500
H  0.500  0.000  0.000
La  0.000  0.000  0.000

[3]
ScTcMo2: relaxed, PBE-GGA.

Output
Relative energy among the computed polymorphs: 7.4 kJ/mol of atoms
Energy relative to the elements: -0.032 eV per atom
Space-group type: No. 99

Unit cell a=3.177 b=3.177 c=6.551 alpha=90.00 beta=90.00 gamma=90.00
Positions (direct):
Mo  0.000  0.000  0.997
Mo  0.500  0.500  0.230
Sc  0.000  0.000  0.503
Tc  0.500  0.500  0.770

[4]
CdCoRh2: relaxed, PBE-GGA.

Output
Relative energy among the computed polymorphs: 15.6 kJ/mol of atoms
Energy relative to the elements: 0.190 eV per atom
Space-group type: No. 65

Unit cell a=4.667 b=4.667 c=2.847 alpha=90.00 beta=90.00 gamma=104.77
Positions (direct):
Cd  0.500  0.000  0.500
Co  0.000  0.500  0.500
Rh  0.000  0.000  0.000
Rh  0.500  0.500  0.000

[5]
KAs2RhO8: relaxed, PBE-GGA.

Output
ΔE_f (raw): -0.91 eV/atom
Space-group type: No. 155

Unit cell a=5.488 b=5.488 c=9.185 alpha=72.62 beta=72.62 gamma=60.00
Positions (direct):
K  0.000  0.000  0.000
As  0.766  0.766  0.702
As  0.234  0.234  0.298
Rh  0.500  0.500  0.500
O  0.701  0.701  0.896
O  0.299  0.299  0.104
O  0.398  0.381  0.354
O  0.619  0.602  0.646
O  0.134  0.619  0.646
O  0.381  0.866  0.354
O  0.866  0.398  0.354
O  0.602  0.134  0.646

[6]
LiFeP: relaxed, PBE-GGA.

Output
Energy relative to the elements: -0.653 eV per atom
Space-group type: No. 129

Unit cell a=3.691 b=3.691 c=5.861 alpha=90.00 beta=90.00 gamma=90.00
Positions (direct):
P  0.000  0.500  0.208
P  0.500  0.000  0.792
Fe  0.000  0.000  0.000
Fe  0.500  0.500  0.000
Li  0.000  0.500  0.653
Li  0.500  0.000  0.347

[7]
Mn2ZnSe: relaxed, PBE-GGA.

Output
Relative energy among the computed polymorphs: 8.8 kJ/mol of atoms
ΔE_f (raw): 0.16 eV/atom
Space-group type: No. 65

Unit cell a=4.410 b=4.410 c=3.142 alpha=90.01 beta=90.01 gamma=100.95
Positions (direct):
Mn  0.000  0.000  0.000
Mn  0.500  0.500  0.000
Se  0.500  0.000  0.500
Zn  0.000  0.500  0.500

[8]
LiMnAu3: relaxed, PBE-GGA.

Output
Relative energy among the computed polymorphs: 0.0 kJ/mol of atoms
Energy relative to the elements: -0.215 eV per atom
Space-group type: No. 51

Unit cell a=3.151 b=6.774 c=7.762 alpha=90.00 beta=90.00 gamma=90.00
Positions (direct):
Li  0.591  0.612  0.138
Li  0.591  0.612  0.638
Mn  0.590  0.020  0.888
Mn  0.590  0.204  0.388
Au  0.091  0.921  0.572
Au  0.091  0.303  0.703
Au  0.091  0.303  0.072
Au  0.091  0.682  0.888
Au  0.091  0.921  0.203
Au  0.091  0.543  0.388

DOS(E_F) (states/eV/atom)
0.82; 0.54; 0.89; 1.63; 0.38; 0.56; 0.71; 0.30
E_tot (eV/cell)
-14.43; -18.73; -38.49; -21.97; -68.35; -35.49; -22.47; -43.99